Record 1
A plane-wave DFT calculation with GGA-PBE was carried out for AgBi2Se3Br after structural relaxation.

Results
space-group type: No. 11

Unit cell a=8.2174 b=4.1711 c=11.3404 alpha=90.00 beta=103.28 gamma=90.00
Last column: nearest neighbours and their distance in Å.
Fractional coordinates of all 14 atoms:
1 Br 0.5934 0.2500 0.8962  5 Bi 3.15-3.47
2 Br 0.4066 0.7500 0.1038  5 Bi 3.15-3.47
3 Se 0.3127 0.7500 0.4087  3 Bi 2.75-2.98, 2 Ag 3.01
4 Se 0.6873 0.2500 0.5913  3 Bi 2.75-2.98, 2 Ag 3.01
5 Se 0.9541 0.7500 0.8489  3 Bi 2.82-2.99, 1 Ag 2.96
6 Se 0.1981 0.2500 0.6615  3 Ag 2.81-2.90, 3 Bi 3.02-3.06
7 Se 0.8019 0.7500 0.3385  3 Ag 2.81-2.90, 3 Bi 3.02-3.06
8 Se 0.0459 0.2500 0.1511  3 Bi 2.82-2.99, 1 Ag 2.96
9 Bi 0.8158 0.7500 0.0709  4 Se 2.82-3.06, 2 Br 3.15
10 Bi 0.5401 0.2500 0.3480  5 Se 2.75-3.02
11 Bi 0.1842 0.2500 0.9291  4 Se 2.82-3.06, 2 Br 3.15
12 Bi 0.4599 0.7500 0.6520  5 Se 2.75-3.02
13 Ag 0.0495 0.2500 0.4126  6 Se 2.81-3.01, 2 Ag 3.11
14 Ag 0.9505 0.7500 0.5874  6 Se 2.81-3.01, 2 Ag 3.11

Record 2
A plane-wave DFT calculation with GGA-PBE was carried out for HfMgCoSn after structural relaxation.

Results
energy above the most stable polymorph in this dataset: 18.1 kJ/mol of atoms
space-group type: No. 216

Unit cell a=4.6716 b=4.6716 c=4.6716 alpha=60.00 beta=60.00 gamma=60.00
Last column: nearest neighbours and their distance in Å.
Fractional coordinates of all 4 atoms:
1 Mg 0.5000 0.5000 0.5000  4 Co 2.86, 4 Hf 2.86
2 Hf 0.2500 0.2500 0.2500  4 Sn 2.86, 4 Mg 2.86
3 Sn 0.0000 0.0000 0.0000  4 Co 2.86, 4 Hf 2.86
4 Co 0.7500 0.7500 0.7500  4 Sn 2.86, 4 Mg 2.86

Record 3
A plane-wave DFT calculation with GGA-PBE was carried out for HoAs2 after structural relaxation.

Results
space-group type: No. 227

Unit cell a=8.9222 b=8.9222 c=8.9222 alpha=60.00 beta=60.00 gamma=60.00
Last column: nearest neighbours and their distance in Å.
Fractional coordinates of all 6 atoms:
1 As 0.5000 0.0000 0.0000  2 Ho 2.73
2 As 0.0000 0.0000 0.5000  2 Ho 2.73
3 As 0.0000 0.5000 0.0000  2 Ho 2.73
4 As 0.0000 0.0000 0.0000  2 Ho 2.73
5 Ho 0.8750 0.8750 0.8750  4 As 2.73
6 Ho 0.1250 0.1250 0.1250  4 As 2.73

Record 4
A plane-wave DFT calculation with GGA-PBE was carried out for KSmPd after structural relaxation.

Results
space-group type: No. 216

Unit cell a=5.0871 b=5.0871 c=5.0871 alpha=60.00 beta=60.00 gamma=60.00
Last column: nearest neighbours and their distance in Å.
Fractional coordinates of all 3 atoms:
1 Pd 0.2500 0.2500 0.2500  4 K 3.12, 4 Sm 3.12
2 K 0.5000 0.5000 0.5000  4 Pd 3.12
3 Sm 0.0000 0.0000 0.0000  4 Pd 3.12

Record 5
A plane-wave DFT calculation with GGA-PBE was carried out for NaNbReSb after structural relaxation.

Results
energy above the most stable polymorph in this dataset: 0.0 kJ/mol of atoms
space-group type: No. 216

Unit cell a=4.6243 b=4.6243 c=4.6243 alpha=60.00 beta=60.00 gamma=60.00
Last column: nearest neighbours and their distance in Å.
Fractional coordinates of all 4 atoms:
1 Na 0.7500 0.7500 0.7500  4 Nb 2.83, 4 Sb 2.83
2 Sb 0.0000 0.0000 0.0000  4 Re 2.83, 4 Na 2.83
3 Nb 0.5000 0.5000 0.5000  4 Re 2.83, 4 Na 2.83
4 Re 0.2500 0.2500 0.2500  4 Sb 2.83, 4 Nb 2.83

Record 6
A plane-wave DFT calculation with GGA-PBE was carried out for Hf2NiBi after structural relaxation.

Results
space-group type: No. 216

Unit cell a=4.8502 b=4.8502 c=4.8502 alpha=60.00 beta=60.00 gamma=60.00
Last column: nearest neighbours and their distance in Å.
Fractional coordinates of all 4 atoms:
1 Ni 0.2500 0.2500 0.2500  4 Bi 2.97, 4 Hf 2.97
2 Bi 0.5000 0.5000 0.5000  4 Hf 2.97, 4 Ni 2.97
3 Hf 0.7500 0.7500 0.7500  4 Bi 2.97, 4 Hf 2.97
4 Hf 0.0000 0.0000 0.0000  4 Hf 2.97, 4 Ni 2.97

Record 7
A plane-wave DFT calculation with GGA-PBE was carried out for ErHfBe2Ge2 after structural relaxation.

Results
space-group type: No. 164

Unit cell a=3.8155 b=3.8155 c=7.6430 alpha=90.00 beta=90.00 gamma=120.00
Last column: nearest neighbours and their distance in Å.
Fractional coordinates of all 6 atoms:
1 Ge 0.3333 0.6667 0.2408  3 Be 2.21
2 Ge 0.6667 0.3333 0.7592  3 Be 2.21
3 Be 0.3333 0.6667 0.7723  3 Ge 2.21
4 Be 0.6667 0.3333 0.2277  3 Ge 2.21
5 Hf 0.0000 0.0000 0.0000  6 Be 2.81, 6 Ge 2.87
6 Er 0.0000 0.0000 0.5000  6 Ge 2.96, 6 Be 3.03

Record 8
A plane-wave DFT calculation with GGA-PBE was carried out for DyYSi2Ag2 after structural relaxation.

Results
space-group type: No. 156

Unit cell a=4.4004 b=4.4004 c=7.3405 alpha=90.00 beta=90.00 gamma=120.00
Last column: nearest neighbours and their distance in Å.
Fractional coordinates of all 6 atoms:
1 Si 0.3333 0.6667 0.2142  3 Ag 2.58
2 Si 0.6667 0.3333 0.7115  3 Ag 2.58
3 Dy 0.0000 0.0000 0.5012  6 Si 2.97-3.30, 6 Ag 3.02-3.24
4 Y 0.0000 0.0000 0.0015  6 Si 2.98-3.31, 6 Ag 3.03-3.25
5 Ag 0.3333 0.6667 0.7754  3 Si 2.58
6 Ag 0.6667 0.3333 0.2782  3 Si 2.58

Record 9
A plane-wave DFT calculation with GGA-PBE was carried out for CuSb5Os3 after structural relaxation.

Results
space-group type: No. 191

Unit cell a=5.6325 b=5.6325 c=7.8338 alpha=90.00 beta=90.00 gamma=120.00
Last column: nearest neighbours and their distance in Å.
Fractional coordinates of all 9 atoms:
1 Sb 0.0000 0.0000 0.5000  6 Os 2.82
2 Sb 0.3333 0.6667 0.2207  3 Os 2.73
3 Sb 0.6667 0.3333 0.7793  3 Os 2.73
4 Sb 0.3333 0.6667 0.7793  3 Os 2.73
5 Sb 0.6667 0.3333 0.2207  3 Os 2.73
6 Cu 0.0000 0.0000 0.0000  14 Sb 3.68-3.92
7 Os 0.5000 0.5000 0.5000  6 Sb 2.73-2.82, 4 Os 2.82
8 Os 0.0000 0.5000 0.5000  6 Sb 2.73-2.82, 4 Os 2.82
9 Os 0.5000 0.0000 0.5000  6 Sb 2.73-2.82, 4 Os 2.82

Record 10
A plane-wave DFT calculation with GGA-PBE was carried out for PaOsNO after structural relaxation.

Results
energy above the most stable polymorph in this dataset: 23.8 kJ/mol of atoms
space-group type: No. 26

Unit cell a=3.9662 b=4.9393 c=5.1654 alpha=90.00 beta=90.00 gamma=90.00
Last column: nearest neighbours and their distance in Å.
Fractional coordinates of all 8 atoms:
1 N 0.0000 0.9918 0.2673  2 Os 2.04
2 N 0.0000 0.4918 0.7327  2 Os 2.04
3 Os 0.5000 0.5017 0.6414  2 N 2.04, 1 O 2.17
4 Os 0.5000 0.0017 0.3586  2 N 2.04, 1 O 2.17
5 Pa 0.0000 0.9918 0.7709  4 N 2.48-2.60, 4 O 2.50-2.74
6 Pa 0.0000 0.4918 0.2291  4 N 2.48-2.60, 4 O 2.50-2.74
7 O 0.5000 0.7687 0.9743  2 Os 2.17-2.29
8 O 0.5000 0.2687 0.0257  2 Os 2.17-2.29

Record 11
A plane-wave DFT calculation with GGA-PBE was carried out for DyErBe2Si2 after structural relaxation.

Results
space-group type: No. 164

Unit cell a=3.8597 b=3.8597 c=7.9949 alpha=90.00 beta=90.00 gamma=120.00
Last column: nearest neighbours and their distance in Å.
Fractional coordinates of all 6 atoms:
1 Si 0.3333 0.6667 0.2522  3 Be 2.23
2 Si 0.6667 0.3333 0.7478  3 Be 2.23
3 Be 0.3333 0.6667 0.7484  3 Si 2.23
4 Be 0.6667 0.3333 0.2516  3 Si 2.23
5 Er 0.0000 0.0000 0.5000  6 Si 2.98, 6 Be 2.98
6 Dy 0.0000 0.0000 0.0000  6 Be 3.00, 6 Si 3.01

Record 12
A plane-wave DFT calculation with GGA-PBE was carried out for MoAs2Pd after structural relaxation.

Results
space-group type: No. 216

Unit cell a=4.5362 b=4.5362 c=4.5362 alpha=60.00 beta=60.00 gamma=60.00
Last column: nearest neighbours and their distance in Å.
Fractional coordinates of all 4 atoms:
1 As 0.5000 0.5000 0.5000  4 Mo 2.78, 4 As 2.78
2 As 0.2500 0.2500 0.2500  4 As 2.78, 4 Pd 2.78
3 Pd 0.0000 0.0000 0.0000  4 Mo 2.78, 4 As 2.78
4 Mo 0.7500 0.7500 0.7500  4 As 2.78, 4 Pd 2.78

Record 13
A plane-wave DFT calculation with GGA-PBE was carried out for Pr3Cd3Ga2Au after structural relaxation.

Results
space-group type: No. 189

Unit cell a=7.5457 b=7.5457 c=4.4968 alpha=90.00 beta=90.00 gamma=120.00
Last column: nearest neighbours and their distance in Å.
Fractional coordinates of all 9 atoms:
1 Ga 0.6667 0.3333 0.0000  3 Cd 2.88, 6 Pr 3.20
2 Ga 0.3333 0.6667 0.0000  3 Cd 2.88, 6 Pr 3.20
3 Pr 0.5876 0.0000 0.5000  1 Au 3.11, 4 Ga 3.20, 2 Cd 3.40
4 Pr 0.4124 0.4124 0.5000  1 Au 3.11, 4 Ga 3.20, 2 Cd 3.40
5 Pr 0.0000 0.5876 0.5000  1 Au 3.11, 4 Ga 3.20, 2 Cd 3.40
6 Cd 0.0000 0.2500 0.0000  2 Ga 2.88, 2 Au 2.93
7 Cd 0.7500 0.7500 0.0000  2 Ga 2.88, 2 Au 2.93
8 Cd 0.2500 0.0000 0.0000  2 Ga 2.88, 2 Au 2.93
9 Au 0.0000 0.0000 0.5000  6 Cd 2.93, 3 Pr 3.11

Record 14
A plane-wave DFT calculation with GGA-PBE was carried out for Hf6Al2Ni after structural relaxation.

Results
space-group type: No. 189

Unit cell a=7.8395 b=3.3062 c=7.8397 alpha=90.00 beta=120.00 gamma=90.00
Last column: nearest neighbours and their distance in Å.
Fractional coordinates of all 9 atoms:
1 Hf 0.7447 0.5000 0.7447  2 Ni 2.60
2 Hf 0.3996 0.0000 0.3996  4 Al 2.91, 1 Ni 3.13, 6 Hf 3.17-3.21
3 Hf 0.0000 0.5000 0.2553  2 Ni 2.60
4 Hf 0.0000 0.0000 0.6004  4 Al 2.91, 1 Ni 3.13, 6 Hf 3.17-3.21
5 Hf 0.6004 0.0000 0.0000  4 Al 2.91, 1 Ni 3.13, 6 Hf 3.17-3.21
6 Hf 0.2553 0.5000 0.0000  2 Ni 2.60
7 Al 0.3333 0.5000 0.6667  9 Hf 2.91-2.97
8 Al 0.6667 0.5000 0.3333  9 Hf 2.91-2.97
9 Ni 0.0000 0.0000 0.0000  6 Hf 2.60

Record 15
A plane-wave DFT calculation with GGA-PBE was carried out for ScAl2Ir after structural relaxation.

Results
space-group type: No. 216

Unit cell a=4.4714 b=4.4714 c=4.4714 alpha=60.00 beta=60.00 gamma=60.00
Last column: nearest neighbours and their distance in Å.
Fractional coordinates of all 4 atoms:
1 Ir 0.2500 0.2500 0.2500  4 Sc 2.74, 4 Al 2.74
2 Al 0.0000 0.0000 0.0000  4 Ir 2.74, 4 Al 2.74
3 Al 0.7500 0.7500 0.7500  4 Sc 2.74, 4 Al 2.74
4 Sc 0.5000 0.5000 0.5000  4 Ir 2.74, 4 Al 2.74

Record 16
A plane-wave DFT calculation with GGA-PBE was carried out for NbTc after structural relaxation.

Results
energy relative to the elements: 191 meV per atom
space-group type: No. 187

Unit cell a=2.9979 b=2.9978 c=4.2463 alpha=90.00 beta=90.00 gamma=120.00
Last column: nearest neighbours and their distance in Å.
Fractional coordinates of all 2 atoms:
1 Tc 0.3333 0.6667 0.2500  6 Nb 2.74, 6 Tc 3.00
2 Nb 0.6667 0.3333 0.7500  6 Tc 2.74, 6 Nb 3.00

Record 17
A plane-wave DFT calculation with GGA-PBE was carried out for PdW2Se6 after structural relaxation.

Results
space-group type: No. 12

Unit cell a=6.7715 b=6.7715 c=10.5241 alpha=117.68 beta=117.68 gamma=28.30
Last column: nearest neighbours and their distance in Å.
Fractional coordinates of all 9 atoms:
1 W 0.3275 0.3275 0.7129  7 Se 2.56-2.70
2 W 0.6725 0.6725 0.2871  7 Se 2.56-2.70
3 Se 0.6640 0.6640 0.5380  3 W 2.64-2.70
4 Se 0.3360 0.3360 0.4620  3 W 2.64-2.70
5 Se 0.2170 0.2170 0.1342  1 Pd 2.50, 2 W 2.56
6 Se 0.7830 0.7830 0.8658  1 Pd 2.50, 2 W 2.56
7 Se 0.9898 0.9898 0.7571  1 Pd 2.49, 2 W 2.56
8 Se 0.0102 0.0102 0.2429  1 Pd 2.49, 2 W 2.56
9 Pd 0.0000 0.0000 0.0000  4 Se 2.49-2.50

Record 18
A plane-wave DFT calculation with GGA-PBE was carried out for SmZrZn after structural relaxation.

Results
energy relative to the elements: 900 meV per atom
energy above the most stable polymorph in this dataset: 65.2 kJ/mol of atoms
space-group type: No. 216

Unit cell a=4.8602 b=4.8602 c=4.8602 alpha=60.00 beta=60.00 gamma=60.00
Last column: nearest neighbours and their distance in Å.
Fractional coordinates of all 3 atoms:
1 Zr 0.7500 0.7500 0.7500  4 Sm 2.98
2 Zn 0.2500 0.2500 0.2500  4 Sm 2.98
3 Sm 0.0000 0.0000 0.0000  4 Zr 2.98, 4 Zn 2.98

Record 19
A plane-wave DFT calculation with GGA-PBE was carried out for NdDyCu2Sb4 after structural relaxation.

Results
space-group type: No. 99

Unit cell a=4.3248 b=4.3248 c=9.9223 alpha=90.00 beta=90.00 gamma=90.00
Last column: nearest neighbours and their distance in Å.
Fractional coordinates of all 8 atoms:
1 Nd 0.5000 0.5000 0.2499  8 Sb 3.20-3.32, 4 Cu 3.31
2 Dy 0.0000 0.0000 0.7495  8 Sb 3.18-3.26, 4 Cu 3.27
3 Cu 0.5000 0.0000 0.5024  4 Sb 2.67
4 Cu 0.0000 0.5000 0.5024  4 Sb 2.67
5 Sb 0.5000 0.0000 0.9957  4 Sb 3.06, 2 Dy 3.26, 2 Nd 3.32
6 Sb 0.0000 0.5000 0.9957  4 Sb 3.06, 2 Dy 3.26, 2 Nd 3.32
7 Sb 0.0000 0.0000 0.3438  4 Cu 2.67
8 Sb 0.5000 0.5000 0.6605  4 Cu 2.67

Record 20
A plane-wave DFT calculation with GGA-PBE was carried out for DyTm2Mg3Al2Zn after structural relaxation.

Results
space-group type: No. 38

Unit cell a=4.4328 b=7.3243 c=7.3243 alpha=120.33 beta=90.00 gamma=90.00
Last column: nearest neighbours and their distance in Å.
Fractional coordinates of all 9 atoms:
1 Mg 0.5000 0.2415 0.2415  2 Zn 2.82, 2 Al 2.84, 2 Mg 3.05
2 Mg 0.5000 0.0003 0.7591  2 Al 2.83-2.84, 2 Zn 2.84, 2 Mg 3.05-3.06
3 Mg 0.5000 0.7591 0.0003  2 Al 2.83-2.84, 2 Zn 2.84, 2 Mg 3.05-3.06
4 Al 0.5000 0.6667 0.3314  3 Mg 2.83-2.84, 4 Tm 3.11, 2 Dy 3.13
5 Al 0.5000 0.3314 0.6667  3 Mg 2.83-2.84, 4 Tm 3.11, 2 Dy 3.13
6 Tm 0.0000 0.4211 0.9991  1 Zn 3.08, 4 Al 3.11, 2 Mg 3.32
7 Tm 0.0000 0.9991 0.4211  1 Zn 3.08, 4 Al 3.11, 2 Mg 3.32
8 Zn 0.0000 0.0030 0.0030  6 Mg 2.82-2.84, 2 Tm 3.08, 1 Dy 3.10
9 Dy 0.0000 0.5778 0.5778  1 Zn 3.10, 4 Al 3.13, 2 Mg 3.30

no.,VASP energy (eV/cell)
1,-51.38
2,-21.99
3,-24.31
4,-10.87
5,-26.97
6,-27.98
7,-34.83
8,-30.90
9,-53.09
10,-73.55
11,-31.41
12,-23.98
13,-31.46
14,-75.85
15,-25.33
16,-20.07
17,-54.92
18,-11.82
19,-38.43
20,-29.68